Entry 1:
DFT (PBE) results for PuH7Ru2 after structural relaxation.

Its total magnetization is 5.00 μB/f.u. Its density of states at the Fermi level is 9.484 states/eV/f.u. As for the total energy: -5.722 eV per atom.

It has space group Cmmm (No. 65), with a = 5.3140 Å, b = 9.1989 Å, c = 3.3344 Å, α = 90.00°, β = 90.00° and γ = 90.00°. The asymmetric unit holds Pu at (0.0000, 0.0000, 0.0000), H at (0.0000, 0.2675, 0.0000), H at (0.0000, 0.5000, 0.5000), H at (0.1786, 0.1461, 0.5000) and Ru at (0.0000, 0.3159, 0.5000).

Entry 2:
DFT (PBE) results for K2Pu2US6 after structural relaxation.

The calculation puts the energy relative to the elements, uncorrected at -1.564 eV/atom. Its total magnetization is 12.00 μB/f.u. Its density of states at the Fermi level is 25.082 states/eV/f.u. As for the total energy: -7.647 eV per atom.

It has space group C2/m (No. 12), with a = 7.0388 Å, b = 12.1322 Å, c = 7.8348 Å, α = 90.00°, β = 107.53° and γ = 90.00°. The asymmetric unit holds K at (0.0000, 0.1688, 0.0000), Pu at (0.0000, 0.3343, 0.5000), U at (0.0000, 0.0000, 0.5000), S at (0.2259, 0.1634, 0.6929) and S at (0.2436, 0.5000, 0.6934).

Entry 3:
DFT (PBE) results for InMo2Rh after structural relaxation.

Its total magnetization is 0.00 μB/f.u. Its density of states at the Fermi level is 2.785 states/eV/f.u. As for the total energy: -7.857 eV per atom.

It has space group Pmmm (No. 47), with a = 3.3934 Å, b = 4.1594 Å, c = 4.6544 Å, α = 90.00°, β = 90.00° and γ = 90.00°. The asymmetric unit holds In at (0.0000, 0.0000, 0.0000), Mo at (0.0000, 0.5000, 0.5000), Mo at (0.5000, 0.0000, 0.5000) and Rh at (0.5000, 0.5000, 0.0000).

Entry 4:
DFT (PBE) results for Li7Cd4Ag after structural relaxation.

Its total magnetization is 0.00 μB/f.u. Its density of states at the Fermi level is 4.596 states/eV/f.u. As for the total energy: -1.784 eV per atom.

It has space group C2/m (No. 12), with a = 13.7656 Å, b = 4.9116 Å, c = 7.5258 Å, α = 90.00°, β = 117.51° and γ = 90.00°. The asymmetric unit holds Li at (0.0000, 0.0000, 0.0000), Li at (0.0693, 0.5000, 0.4061), Li at (0.2053, 0.5000, 0.2061), Li at (0.2067, 0.5000, 0.8459), Cd at (0.0778, 0.0000, 0.7220), Cd at (0.1723, 0.0000, 0.3928) and Ag at (0.0000, 0.5000, 0.0000).

Entry 5:
DFT (PBE) results for VNiMo2 after structural relaxation.

The energy above the most stable polymorph in this dataset comes out at 77.8 meV/atom. Its total magnetization is 0.00 μB/f.u. Its density of states at the Fermi level is 5.122 states/eV/f.u. As for the total energy: -9.002 eV per atom.

It has space group Fm-3m (No. 225), with a = 6.0811 Å, b = 6.0811 Å, c = 6.0811 Å, α = 90.00°, β = 90.00° and γ = 90.00°. The asymmetric unit holds V at (0.0000, 0.0000, 0.0000), Ni at (0.0000, 0.0000, 0.5000) and Mo at (0.2500, 0.2500, 0.2500).

Entry 6:
DFT (PBE) results for ErAlInPd after structural relaxation.

Its total magnetization is 0.00 μB/f.u. Its density of states at the Fermi level is 2.349 states/eV/f.u. As for the total energy: -4.549 eV per atom.

It has space group F-43m (No. 216), with a = 6.8350 Å, b = 6.8350 Å, c = 6.8350 Å, α = 90.00°, β = 90.00° and γ = 90.00°. The asymmetric unit holds Er at (0.0000, 0.0000, 0.0000), Al at (0.0000, 0.0000, 0.5000), In at (0.2500, 0.2500, 0.2500) and Pd at (0.2500, 0.2500, 0.7500).

Entry 7:
DFT (PBE) results for GaCo2AsH after structural relaxation.

Its total magnetization is 1.68 μB/f.u. Its density of states at the Fermi level is 2.101 states/eV/f.u. As for the total energy: -4.628 eV per atom.

It has space group P4/mmm (No. 123), with a = 4.4834 Å, b = 4.4834 Å, c = 3.2422 Å, α = 90.00°, β = 90.00° and γ = 90.00°. The asymmetric unit holds Ga at (0.0000, 0.0000, 0.0000), Co at (0.0000, 0.5000, 0.5000), As at (0.5000, 0.5000, 0.5000) and H at (0.5000, 0.5000, 0.0000).

Entry 8:
DFT (PBE) results for LiTaPd3 after structural relaxation.

The energy above the most stable polymorph in this dataset comes out at 937.4 meV/atom. Its total magnetization is 0.00 μB/f.u. Its density of states at the Fermi level is 3.945 states/eV/f.u. As for the total energy: -5.271 eV per atom.

It has space group Pm-3m (No. 221), with a = 4.8732 Å, b = 4.8732 Å, c = 4.8732 Å, α = 90.00°, β = 90.00° and γ = 90.00°. The asymmetric unit holds Li at (0.0000, 0.0000, 0.0000), Ta at (0.5000, 0.5000, 0.5000) and Pd at (0.0000, 0.5000, 0.5000).

Entry 9:
DFT (PBE) results for Pr5Sm2Au4 after structural relaxation.

Its total magnetization is 0.52 μB/f.u. Its density of states at the Fermi level is 13.651 states/eV/f.u. As for the total energy: -4.452 eV per atom.

It has space group C2/m (No. 12), with a = 23.8090 Å, b = 3.7783 Å, c = 7.8679 Å, α = 90.00°, β = 108.16° and γ = 90.00°. The asymmetric unit holds Pr at (0.0000, 0.0000, 0.0000), Pr at (0.1252, 0.5000, 0.3408), Pr at (0.1444, 0.5000, 0.9024), Sm at (0.2315, 0.0000, 0.6715), Au at (0.0070, 0.5000, 0.6933) and Au at (0.0862, 0.0000, 0.5901).

Entry 10:
DFT (PBE) results for NdPa2Si6 after structural relaxation.

The calculation puts the energy relative to the elements, uncorrected at -0.540 eV/atom. Its total magnetization is 0.00 μB/f.u. Its density of states at the Fermi level is 6.808 states/eV/f.u. As for the total energy: -6.796 eV per atom.

It has space group P6/mmm (No. 191), with a = 7.0650 Å, b = 7.0650 Å, c = 3.9870 Å, α = 90.00°, β = 90.00° and γ = 120.00°. The asymmetric unit holds Nd at (0.0000, 0.0000, 0.0000), Pa at (0.3333, 0.6667, 0.0000) and Si at (0.0000, 0.3360, 0.5000).

Entry 11:
DFT (PBE) results for CrBr after structural relaxation.

The calculation puts the energy relative to the elements, uncorrected at 0.343 eV/atom. Its total magnetization is 5.00 μB/f.u. Its density of states at the Fermi level is 1.049 states/eV/f.u. As for the total energy: -5.306 eV per atom.

It has space group Pm-3m (No. 221), with a = 3.5471 Å, b = 3.5471 Å, c = 3.5471 Å, α = 90.00°, β = 90.00° and γ = 90.00°. The asymmetric unit holds Cr at (0.0000, 0.0000, 0.0000) and Br at (0.5000, 0.5000, 0.5000).

Entry 12:
DFT (PBE) results for Ce4Pm2Rh9 after structural relaxation.

Its total magnetization is 0.43 μB/f.u. Its density of states at the Fermi level is 9.749 states/eV/f.u. As for the total energy: -7.278 eV per atom.

It has space group P-3m1 (No. 164), with a = 4.5668 Å, b = 4.5668 Å, c = 17.1911 Å, α = 90.00°, β = 90.00° and γ = 120.00°. The asymmetric unit holds Ce at (0.3333, 0.6667, 0.0999), Ce at (0.3333, 0.6667, 0.4052), Pm at (0.3333, 0.6667, 0.7517), Rh at (0.0000, 0.0000, 0.1614), Rh at (0.0000, 0.0000, 0.3331), Rh at (0.0000, 0.0000, 0.5000), Rh at (0.3333, 0.6667, 0.5788) and Rh at (0.3333, 0.6667, 0.9321).

Entry 13:
DFT (PBE) results for Be2NiSb after structural relaxation.

The calculation puts the energy relative to the elements, uncorrected at 0.253 eV/atom. Its total magnetization is 0.00 μB/f.u. Its density of states at the Fermi level is 1.369 states/eV/f.u. As for the total energy: -4.086 eV per atom.

It has space group Pmm2 (No. 25), with a = 2.9273 Å, b = 3.2720 Å, c = 5.5934 Å, α = 90.00°, β = 90.00° and γ = 90.00°. The asymmetric unit holds Be at (0.0000, 0.0000, 0.0000), Be at (0.5000, 0.5000, 0.2015), Ni at (0.0000, 0.0000, 0.3718) and Sb at (0.5000, 0.5000, 0.6950).

Entry 14:
DFT (PBE) results for PrEr5In3 after structural relaxation.

The energy above the most stable polymorph in this dataset comes out at 0.0 meV/atom. Its total magnetization is 0.02 μB/f.u. Its density of states at the Fermi level is 9.816 states/eV/f.u. As for the total energy: -4.323 eV per atom.

It has space group P6_3/mcm (No. 193), with a = 9.3334 Å, b = 9.3334 Å, c = 6.7215 Å, α = 90.00°, β = 90.00° and γ = 120.00°. The asymmetric unit holds Pr at (0.0000, 0.0000, 0.0000), Er at (0.0000, 0.3303, 0.2500), Er at (0.3333, 0.6667, 0.0000) and In at (0.0000, 0.3414, 0.7500).

Entry 15:
DFT (PBE) results for BiP2I after structural relaxation.

The energy above the most stable polymorph in this dataset comes out at 0.0 meV/atom. The calculation puts the energy relative to the elements, uncorrected at 0.651 eV/atom. Its total magnetization is 0.00 μB/f.u. Its density of states at the Fermi level is 2.270 states/eV/f.u. As for the total energy: -3.412 eV per atom.

It has space group I-42d (No. 122), with a = 7.3650 Å, b = 7.3650 Å, c = 8.9657 Å, α = 90.00°, β = 90.00° and γ = 90.00°. The asymmetric unit holds Bi at (0.0000, 0.0000, 0.0000), P at (0.2299, 0.7500, 0.1250) and I at (0.0000, 0.0000, 0.5000).

Entry 16:
DFT (PBE) results for Ce5MgGe3 after structural relaxation.

Its total magnetization is 5.74 μB/f.u. Its density of states at the Fermi level is 23.393 states/eV/f.u. As for the total energy: -5.343 eV per atom.

It has space group I4/mcm (No. 140), with a = 7.8860 Å, b = 7.8860 Å, c = 14.9422 Å, α = 90.00°, β = 90.00° and γ = 90.00°. The asymmetric unit holds Ce at (0.0000, 0.0000, 0.0000), Ce at (0.2074, 0.2926, 0.1343), Mg at (0.0000, 0.5000, 0.2500), Ge at (0.0000, 0.0000, 0.2500) and Ge at (0.1093, 0.3907, 0.5000).

Entry 17:
DFT (PBE) results for Sr2CoTe after structural relaxation.

The calculation puts the energy relative to the elements, uncorrected at -0.432 eV/atom. Its total magnetization is 1.06 μB/f.u. Its density of states at the Fermi level is 4.036 states/eV/f.u. As for the total energy: -3.834 eV per atom.

It has space group Amm2 (No. 38), with a = 4.3987 Å, b = 4.5719 Å, c = 12.0691 Å, α = 90.00°, β = 90.00° and γ = 90.00°. The asymmetric unit holds Sr at (0.0000, 0.0000, 0.0000), Sr at (0.5000, 0.0000, 0.2864), Co at (0.5000, 0.0000, 0.5706) and Te at (0.0000, 0.0000, 0.7042).

Entry 18:
DFT (PBE) results for VNiRuW after structural relaxation.

The energy above the most stable polymorph in this dataset comes out at 0.0 meV/atom. Its total magnetization is 0.76 μB/f.u. Its density of states at the Fermi level is 4.044 states/eV/f.u. As for the total energy: -9.249 eV per atom.

It has space group F-43m (No. 216), with a = 6.0357 Å, b = 6.0357 Å, c = 6.0357 Å, α = 90.00°, β = 90.00° and γ = 90.00°. The asymmetric unit holds V at (0.0000, 0.0000, 0.0000), Ni at (0.2500, 0.2500, 0.2500), Ru at (0.0000, 0.0000, 0.5000) and W at (0.2500, 0.2500, 0.7500).

Entry 19:
DFT (PBE) results for BeSnGe2C after structural relaxation.

The energy above the most stable polymorph in this dataset comes out at 454.5 meV/atom. Its total magnetization is 0.00 μB/f.u. Its density of states at the Fermi level is 3.317 states/eV/f.u. As for the total energy: -3.306 eV per atom.

It has space group P4/mmm (No. 123), with a = 5.4234 Å, b = 5.4234 Å, c = 4.0510 Å, α = 90.00°, β = 90.00° and γ = 90.00°. The asymmetric unit holds Be at (0.0000, 0.0000, 0.0000), Sn at (0.5000, 0.5000, 0.5000), Ge at (0.0000, 0.5000, 0.5000) and C at (0.5000, 0.5000, 0.0000).

Entry 20:
DFT (PBE) results for YHoTm5 after structural relaxation.

The energy above the most stable polymorph in this dataset comes out at 965.9 meV/atom. Its total magnetization is 0.00 μB/f.u. Its density of states at the Fermi level is 7.000 states/eV/f.u. As for the total energy: -3.608 eV per atom.

It has space group Immm (No. 71), with a = 5.7484 Å, b = 8.5383 Å, c = 11.8755 Å, α = 90.00°, β = 90.00° and γ = 90.00°. The asymmetric unit holds Y at (0.0000, 0.0000, 0.0000), Ho at (0.0000, 0.0000, 0.5000), Tm at (0.0000, 0.0000, 0.2567), Tm at (0.0000, 0.3227, 0.5000) and Tm at (0.0000, 0.5000, 0.0000).